An optimized crystal structure of YCu2Re, computed with GGA-PBE.

Geometry as extended XYZ:
```
4
Lattice="3.029 0.000 0.000 0.000 3.246 0.000 0.000 0.000 6.756" Properties=species:S:1:pos:R:3 pbc="T T T"
Y 0.000 0.000 0.000
Cu 0.000 0.000 3.286
Cu 1.514 1.623 2.050
Re 1.514 1.623 4.685
```

Summary:
Energy, eV/atom: -6.470